# Tb12PrDy7

Crystalline Tb12PrDy7 at its relaxed geometry (GGA-PBE, Alexandria).

The structure in CIF format:
```
data_Tb12PrDy7
_cell_length_a 12.8531
_cell_length_b 12.8531
_cell_length_c 13.7000
_cell_angle_alpha 90.00
_cell_angle_beta 90.00
_cell_angle_gamma 120.00
_symmetry_space_group_name_H-M 'R -3'
_symmetry_Int_Tables_number 148
_symmetry_space_group_name_Hall '-R 3'
loop_
_atom_site_label
_atom_site_type_symbol
_atom_site_fract_x
_atom_site_fract_y
_atom_site_fract_z
Tb1 Tb 0.0035 0.5675 0.2470
Tb2 Tb 0.0679 0.8690 0.3444
Pr1 Pr 0.0000 0.0000 0.0000
Dy1 Dy 0.0000 0.0000 0.5000
Dy2 Dy 0.0679 0.2020 0.8509
```

ΔH_f (0 K), kJ/mol of formula units: 571.1
E above lowest polymorph, eV/atom: 0.000
Volume, Å³/f.u.: 653.3
Mass density, g/cm3: 8.1
Total energy, eV per atom: -4.332